1.
A plane-wave DFT calculation with PBE was carried out for a relaxed Tb3Pr5Nd2 crystal.

extended XYZ file:
```
20
Lattice="-4.7743 11.1917 3.4592 4.7743 -11.1917 3.4592 4.7743 11.1917 -3.4592" Properties=species:S:1:pos:R:3 pbc="T T T"
Tb 2.3550 2.6454 0.0000
Tb 0.0000 0.0000 1.7296
Tb 2.3550 -2.6454 3.4592
Tb 2.4192 13.8372 0.0000
Tb 0.0000 0.0000 5.1888
Tb 2.4192 8.5463 3.4592
Pr 4.7743 5.6850 -1.7296
Pr 5.6767 2.8728 0.0000
Pr 4.7743 0.0000 1.7296
Pr 0.9025 8.3190 0.0000
Pr 0.0000 5.5067 1.7296
Pr 4.7743 5.6850 1.7296
Pr 3.8718 2.8728 3.4592
Pr 0.0000 11.1917 1.7296
Pr -0.9025 8.3190 3.4592
Pr 0.0000 5.5067 5.1888
Nd 3.8457 -8.5093 3.4592
Nd 3.8457 8.5093 0.0000
Nd 0.9286 2.6824 3.4592
Nd 0.9286 19.7010 0.0000
```

Values from the calculation:
As for the energy relative to the elements: 0.3520 eV per atom. The calculation puts the energy at -4.3804 eV/atom.


2.
A plane-wave DFT calculation with PBE was carried out for a relaxed Tb3PrNd7 crystal.

extended XYZ file:
```
11
Lattice="11.0937 0.0000 0.0000 -5.5468 9.6074 0.0000 0.0000 0.0000 3.6381" Properties=species:S:1:pos:R:3 pbc="T T T"
Tb 0.0000 3.4066 0.0000
Tb -2.5966 7.9041 0.0000
Tb 2.5967 7.9041 0.0000
Pr 0.0000 6.4050 1.8190
Nd 0.0000 0.0000 0.0000
Nd 2.5630 1.4798 1.8190
Nd 5.5468 0.6965 0.0000
Nd 3.3766 4.4555 0.0000
Nd 8.5307 1.4798 1.8190
Nd 5.5468 6.6479 1.8190
Nd 7.7171 4.4555 0.0000
```

Values from the calculation:
As for the energy relative to the elements: 0.1264 eV per atom. The calculation puts the energy at -4.6050 eV/atom.


3.
A plane-wave DFT calculation with PBE was carried out for a relaxed Tb3Pr6Nd crystal.

extended XYZ file:
```
20
Lattice="4.9563 -10.8158 0.0000 4.9563 10.8158 0.0000 0.0000 0.0000 6.5590" Properties=species:S:1:pos:R:3 pbc="T T T"
Tb 4.9563 9.0697 3.2795
Tb 3.2927 2.7648 0.7174
Tb 3.2927 -2.7648 3.9969
Tb 6.6199 2.7648 0.7174
Tb 6.6199 -2.7648 3.9969
Tb 4.9563 -9.0697 0.0000
Pr 3.2311 6.1049 1.7591
Pr 1.7714 1.2927 3.4065
Pr 4.9563 6.4662 5.1749
Pr 1.7714 -1.2927 0.1271
Pr 6.6815 6.1049 1.7591
Pr 4.9563 0.2886 5.3132
Pr 4.9563 -0.2886 2.0338
Pr 3.2311 -6.1049 5.0386
Pr 8.1411 1.2927 3.4065
Pr 4.9563 -6.4662 1.8954
Pr 8.1411 -1.2927 0.1271
Pr 6.6815 -6.1049 5.0386
Nd 4.9563 3.3290 3.8237
Nd 4.9563 -3.3290 0.5442
```

Values from the calculation:
As for the energy relative to the elements: 0.1206 eV per atom. The calculation puts the energy at -4.6130 eV/atom.


4.
A plane-wave DFT calculation with PBE was carried out for a relaxed TbPr5Nd5 crystal.

extended XYZ file:
```
11
Lattice="7.1011 0.0000 0.0000 2.3702 6.6967 0.0000 2.1581 1.4930 8.3852" Properties=species:S:1:pos:R:3 pbc="T T T"
Tb 0.0000 0.0000 0.0000
Pr 3.7671 4.7217 2.2801
Pr 4.2873 3.0274 5.3827
Pr 3.5506 0.0000 0.0000
Pr 7.3421 5.1623 3.0025
Pr 7.8623 3.4680 6.1051
Nd 1.1851 3.3483 0.0000
Nd 2.1441 1.5093 2.9892
Nd 5.8958 6.2515 6.0710
Nd 5.7336 1.9381 2.3142
Nd 9.4853 6.6803 5.3960
```

Values from the calculation:
As for the energy relative to the elements: 0.1302 eV per atom. The calculation puts the energy at -4.6305 eV/atom.


5.
A plane-wave DFT calculation with PBE was carried out for a relaxed TbPr4Nd4 crystal.

extended XYZ file:
```
9
Lattice="-5.5255 5.5255 2.6074 5.5255 -5.5255 2.6074 5.5255 5.5255 -2.6074" Properties=species:S:1:pos:R:3 pbc="T T T"
Tb 0.0000 0.0000 0.0000
Pr 3.6664 0.0000 0.0000
Pr 7.3846 0.0000 0.0000
Pr 0.0000 3.6664 0.0000
Pr 0.0000 7.3846 0.0000
Nd 3.6939 3.6939 0.0000
Nd 1.8316 -1.8316 2.6074
Nd -1.8316 1.8316 2.6074
Nd 1.8316 1.8316 2.6074
```

Values from the calculation:
As for the energy relative to the elements: 0.0140 eV per atom. The calculation puts the energy at -4.7437 eV/atom.


6.
A plane-wave DFT calculation with PBE was carried out for a relaxed TbPr8Nd5 crystal.

extended XYZ file:
```
14
Lattice="-4.9481 4.9481 5.1891 4.9481 -4.9481 5.1891 4.9481 4.9481 -5.1891" Properties=species:S:1:pos:R:3 pbc="T T T"
Tb 0.0000 0.0000 0.0000
Pr 3.1216 0.8181 0.0429
Pr 3.2409 4.2636 -1.5960
Pr 4.1300 -1.8265 5.1461
Pr 1.7072 0.6846 3.5930
Pr 5.6327 3.2409 1.5960
Pr 0.8181 6.7747 -0.0429
Pr -0.6846 1.7072 6.7851
Pr 1.8265 4.1300 5.2320
Nd 5.9993 2.0533 -1.8077
Nd 4.9481 0.0000 2.5945
Nd 2.0533 3.8970 1.8077
Nd -1.0512 2.8948 3.3813
Nd 2.8948 1.0512 6.9968
```

Values from the calculation:
As for the energy relative to the elements: 0.2295 eV per atom. The calculation puts the energy at -4.5351 eV/atom.


7.
A plane-wave DFT calculation with PBE was carried out for a relaxed Tb2Pr6Nd crystal.

extended XYZ file:
```
18
Lattice="8.3491 0.0000 0.0000 0.0000 8.3491 0.0000 0.0000 0.0000 10.6319" Properties=species:S:1:pos:R:3 pbc="T T T"
Tb 0.0000 0.0000 1.7600
Tb 0.0000 0.0000 8.8719
Tb 4.1746 4.1746 3.5559
Tb 4.1746 4.1746 7.0759
Pr 1.9842 1.9842 0.0000
Pr 1.9923 1.9923 3.5474
Pr 1.9923 1.9923 7.0844
Pr 2.1822 6.1669 1.7685
Pr 2.1822 6.1669 8.8634
Pr 2.1904 6.1587 5.3159
Pr 6.1587 2.1904 5.3159
Pr 6.1669 2.1822 1.7685
Pr 6.1669 2.1822 8.8634
Pr 6.3568 6.3568 3.5474
Pr 6.3568 6.3568 7.0844
Pr 6.3649 6.3649 0.0000
Nd 0.0000 0.0000 5.3159
Nd 4.1746 4.1746 0.0000
```

Values from the calculation:
As for the energy relative to the elements: 0.5850 eV per atom. The calculation puts the energy at -4.1600 eV/atom.


8.
A plane-wave DFT calculation with PBE was carried out for a relaxed Tb12Pr3Nd crystal.

extended XYZ file:
```
16
Lattice="5.0913 0.0000 0.0000 0.0000 5.0913 0.0000 0.0000 0.0000 20.3518" Properties=species:S:1:pos:R:3 pbc="T T T"
Tb 0.0000 0.0000 0.0000
Tb 0.0000 0.0000 5.0946
Tb 0.0000 0.0000 10.1759
Tb 0.0000 0.0000 15.2572
Tb 0.0000 2.5456 2.5480
Tb 0.0000 2.5456 7.6416
Tb 0.0000 2.5456 12.7102
Tb 0.0000 2.5456 17.8039
Tb 2.5456 0.0000 2.5480
Tb 2.5456 0.0000 7.6416
Tb 2.5456 0.0000 12.7102
Tb 2.5456 0.0000 17.8039
Pr 2.5456 2.5456 0.0000
Pr 2.5456 2.5456 5.0934
Pr 2.5456 2.5456 15.2584
Nd 2.5456 2.5456 10.1759
```

Values from the calculation:
As for the energy relative to the elements: 0.0183 eV per atom. The calculation puts the energy at -4.6486 eV/atom.


9.
A plane-wave DFT calculation with PBE was carried out for a relaxed Tb2PrNd crystal.

extended XYZ file:
```
4
Lattice="1.8221 1.0520 11.7769 -1.8221 1.0520 11.7769 0.0000 -2.1039 11.7769" Properties=species:S:1:pos:R:3 pbc="T T T"
Tb 0.0000 0.0000 0.0000
Tb 0.0000 0.0000 5.9398
Pr 0.0000 0.0000 14.7645
Nd 0.0000 0.0000 20.6393
```

Values from the calculation:
As for the energy relative to the elements: 0.0171 eV per atom. The calculation puts the energy at -4.6848 eV/atom.


10.
A plane-wave DFT calculation with PBE was carried out for a relaxed Tb3PrNd crystal.

extended XYZ file:
```
10
Lattice="6.5654 0.0000 0.0000 -3.2679 5.7072 0.0000 -3.1169 -1.8535 8.9917" Properties=species:S:1:pos:R:3 pbc="T T T"
Tb -1.8352 2.4103 1.6882
Tb -3.2161 3.8231 4.8916
Tb -1.2931 0.5323 7.3065
Tb 1.4737 3.3214 1.6853
Tb 3.3967 0.0306 4.1001
Tb 2.0158 1.4434 7.3035
Pr 3.2827 0.0000 0.0000
Pr 0.0903 1.9269 4.4959
Nd 0.5991 -0.0201 1.7145
Nd -0.4185 3.8738 7.2772
```

Values from the calculation:
As for the energy relative to the elements: 0.1701 eV per atom. The calculation puts the energy at -4.5175 eV/atom.


11.
A plane-wave DFT calculation with PBE was carried out for a relaxed Tb5Pr5Nd2 crystal.

extended XYZ file:
```
12
Lattice="7.7409 -2.5717 0.0000 7.7409 2.5717 0.0000 -5.1783 0.0000 10.3263" Properties=species:S:1:pos:R:3 pbc="T T T"
Tb 0.0000 0.0000 0.0000
Tb -2.6032 0.0000 7.7333
Tb -0.0057 0.0000 5.1686
Tb 10.3093 0.0000 5.1578
Tb 12.9067 0.0000 2.5931
Pr 2.5732 0.0000 2.6053
Pr 5.1784 0.0000 0.0124
Pr 5.1518 0.0000 5.1632
Pr 5.1251 0.0000 10.3140
Pr 7.7303 0.0000 7.7210
Nd 2.5812 0.0000 7.7274
Nd 7.7224 0.0000 2.5990
```

Values from the calculation:
As for the energy relative to the elements: 0.0156 eV per atom. The calculation puts the energy at -4.6997 eV/atom.


12.
A plane-wave DFT calculation with PBE was carried out for a relaxed Tb7Pr6Nd16 crystal.

extended XYZ file:
```
29
Lattice="0.0000 8.0759 8.0759 8.0759 0.0000 8.0759 8.0759 8.0759 0.0000" Properties=species:S:1:pos:R:3 pbc="T T T"
Tb 0.0000 0.0000 0.0000
Tb 4.0380 4.0380 0.0000
Tb 4.0380 0.0000 4.0380
Tb 8.0759 4.0380 4.0380
Tb 0.0000 4.0380 4.0380
Tb 4.0380 8.0759 4.0380
Tb 4.0380 4.0380 8.0759
Pr 8.0759 8.0759 4.3952
Pr 8.0759 4.3952 8.0759
Pr 11.7566 8.0759 8.0759
Pr 4.3952 8.0759 8.0759
Pr 8.0759 11.7566 8.0759
Pr 8.0759 8.0759 11.7566
Nd 10.5250 5.6269 5.6269
Nd 2.0349 2.0349 2.0349
Nd 6.0410 6.0410 2.0349
Nd 6.0410 2.0349 6.0410
Nd 5.6269 5.6269 5.6269
Nd 10.5250 10.5250 5.6269
Nd 10.5250 5.6269 10.5250
Nd 14.1170 10.1108 10.1108
Nd 2.0349 6.0410 6.0410
Nd 5.6269 10.5250 5.6269
Nd 5.6269 5.6269 10.5250
Nd 10.5250 10.5250 10.5250
Nd 10.1108 14.1170 10.1108
Nd 10.1108 10.1108 14.1170
Nd 14.1170 14.1170 14.1170
Nd 5.6269 10.5250 10.5250
```

Values from the calculation:
As for the energy relative to the elements: 0.2000 eV per atom. The calculation puts the energy at -4.5370 eV/atom.


13.
A plane-wave DFT calculation with PBE was carried out for a relaxed Tb2PrNd crystal.

extended XYZ file:
```
8
Lattice="3.6951 -6.3375 0.0000 3.6951 6.3375 0.0000 -0.0212 0.0000 5.8446" Properties=species:S:1:pos:R:3 pbc="T T T"
Tb 1.8454 1.0599 1.4630
Tb 1.8348 -1.0599 4.3853
Tb 5.5342 1.0599 1.4593
Tb 5.5236 -1.0599 4.3816
Pr 3.6898 4.2455 1.4611
Pr 3.6792 -4.2455 4.3834
Nd 3.6792 2.0882 4.3834
Nd 3.6898 -2.0882 1.4611
```

Values from the calculation:
As for the energy relative to the elements: 0.0268 eV per atom. The calculation puts the energy at -4.6752 eV/atom.


14.
A plane-wave DFT calculation with PBE was carried out for a relaxed Tb5Pr2Nd12 crystal.

extended XYZ file:
```
19
Lattice="8.0966 -5.1018 0.0000 8.0966 5.1018 0.0000 -0.1380 0.0000 8.0564" Properties=species:S:1:pos:R:3 pbc="T T T"
Tb 0.0000 0.0000 0.0000
Tb 3.8709 0.0000 7.9716
Tb 5.6481 0.0000 3.3603
Tb 10.4071 0.0000 4.6961
Tb 12.1842 0.0000 0.0848
Pr 8.0276 2.8138 4.0282
Pr 8.0276 -2.8138 4.0282
Nd 4.8957 2.7601 5.7016
Nd 2.4952 0.0000 5.0123
Nd 6.3702 2.3091 0.8941
Nd 9.6849 2.3091 7.1623
Nd 11.1595 2.7601 2.3548
Nd 7.1526 0.0000 6.3551
Nd 8.9026 0.0000 1.7013
Nd 4.8957 -2.7601 5.7016
Nd 6.3702 -2.3091 0.8941
Nd 9.6849 -2.3091 7.1623
Nd 13.5599 0.0000 3.0441
Nd 11.1595 -2.7601 2.3548
```

Values from the calculation:
As for the energy relative to the elements: 0.1202 eV per atom. The calculation puts the energy at -4.6126 eV/atom.


15.
A plane-wave DFT calculation with PBE was carried out for a relaxed Tb4Pr5Nd crystal.

extended XYZ file:
```
10
Lattice="9.2247 -1.8121 0.0000 9.2247 1.8121 0.0000 -1.1527 0.0000 10.6183" Properties=species:S:1:pos:R:3 pbc="T T T"
Tb 0.5487 0.0000 2.7708
Tb 5.1721 0.0000 6.2464
Tb 12.1246 0.0000 4.3719
Tb 16.7481 0.0000 7.8475
Pr 1.7730 0.0000 7.7622
Pr 3.3912 0.0000 1.0523
Pr 9.2247 0.0000 0.0000
Pr 13.9056 0.0000 9.5660
Pr 15.5237 0.0000 2.8561
Nd 8.6484 0.0000 5.3091
```

Values from the calculation:
As for the energy relative to the elements: 0.1437 eV per atom. The calculation puts the energy at -4.5749 eV/atom.


16.
A plane-wave DFT calculation with PBE was carried out for a relaxed Tb3Pr2Nd6 crystal.

extended XYZ file:
```
11
Lattice="6.3380 0.0000 0.0000 -2.0918 7.8800 0.0000 -1.0376 -2.8166 7.6087" Properties=species:S:1:pos:R:3 pbc="T T T"
Tb 0.0000 0.0000 0.0000
Tb -1.0403 0.5569 6.2386
Tb 4.2489 4.5065 1.3702
Pr 1.0590 -0.5611 3.4443
Pr 2.1497 5.6245 4.1644
Nd -1.0303 3.9292 4.8430
Nd 1.0690 2.8210 2.0467
Nd 1.0769 6.1866 0.6794
Nd 2.1318 -1.1232 6.9293
Nd 2.1397 2.2424 5.5620
Nd 4.2390 1.1342 2.7657
```

Values from the calculation:
As for the energy relative to the elements: 0.0136 eV per atom. The calculation puts the energy at -4.7188 eV/atom.


17.
A plane-wave DFT calculation with PBE was carried out for a relaxed Tb4PrNd10 crystal.

extended XYZ file:
```
15
Lattice="-6.4081 6.4081 3.4468 6.4081 -6.4081 3.4468 6.4081 6.4081 -3.4468" Properties=species:S:1:pos:R:3 pbc="T T T"
Tb 10.5529 0.8591 0.0000
Tb 0.8591 2.2633 0.0000
Tb 5.5490 4.1448 3.4468
Tb -4.1448 5.5490 3.4468
Pr 0.0000 0.0000 3.4468
Nd 4.7687 -2.7016 1.6917
Nd 9.1098 -1.6394 1.7551
Nd 6.4081 0.0000 1.7234
Nd 3.7065 1.6394 1.7551
Nd 8.0475 2.7016 1.6917
Nd -1.6394 3.7065 1.7551
Nd 2.7016 4.7687 1.6917
Nd 0.0000 6.4081 1.7234
Nd -2.7016 8.0475 1.6917
Nd 1.6394 9.1098 1.7551
```

Values from the calculation:
As for the energy relative to the elements: 0.5095 eV per atom. The calculation puts the energy at -4.2224 eV/atom.


18.
A plane-wave DFT calculation with PBE was carried out for a relaxed Tb8Pr3Nd2 crystal.

extended XYZ file:
```
13
Lattice="6.2585 0.0000 0.0000 1.0486 6.1826 0.0000 2.1032 -0.3392 11.2296" Properties=species:S:1:pos:R:3 pbc="T T T"
Tb 1.0386 0.3520 3.8643
Tb 3.1459 2.1328 8.2292
Tb 3.1380 4.2435 1.2895
Tb 5.2382 4.9599 9.0839
Tb 4.1721 0.8835 2.1457
Tb 6.2723 1.5998 9.9401
Tb 6.2645 3.7106 3.0004
Tb 8.3717 5.4913 7.3653
Pr 3.1346 3.1865 4.7349
Pr 4.1808 -0.1696 5.6148
Pr 6.2758 2.6568 6.4947
Nd 1.0487 1.4152 0.4277
Nd 8.3616 4.4281 10.8019
```

Values from the calculation:
As for the energy relative to the elements: 0.0177 eV per atom. The calculation puts the energy at -4.6681 eV/atom.


19.
A plane-wave DFT calculation with PBE was carried out for a relaxed Tb8Pr3Nd3 crystal.

extended XYZ file:
```
14
Lattice="6.1482 -7.6624 0.0000 6.1482 7.6624 0.0000 -2.6737 0.0000 5.0777" Properties=species:S:1:pos:R:3 pbc="T T T"
Tb 1.5412 1.5713 0.8117
Tb 3.2584 4.2875 1.7207
Tb 1.5412 -1.5713 0.8117
Tb 6.3643 4.2875 3.3570
Tb 3.2584 -4.2875 1.7207
Tb 8.0814 1.5713 4.2660
Tb 6.3643 -4.2875 3.3570
Tb 8.0814 -1.5713 4.2660
Pr 6.1482 2.8537 0.0000
Pr 4.8113 0.0000 2.5389
Pr 6.1482 -2.8537 0.0000
Nd -1.3369 0.0000 2.5389
Nd 1.5676 0.0000 4.0655
Nd 8.0550 0.0000 1.0123
```

Values from the calculation:
As for the energy relative to the elements: 0.1041 eV per atom. The calculation puts the energy at -4.5877 eV/atom.